This record from the Alexandria database describes a geometry-optimized TmCuAgSn structure. The functional is GGA-PBE.

Unit cell a=6.8174 b=6.8174 c=6.8174 alpha=90.00 beta=90.00 gamma=90.00
Space group F-43m (No. 216)
One atom of each set of equivalent atoms:
Tm: 0.0000 0.0000 0.0000 [4 per cell]
Cu: 0.2500 0.2500 0.7500 [4 per cell]
Ag: 0.2500 0.2500 0.2500 [4 per cell]
Sn: 0.0000 0.0000 0.5000 [4 per cell]

E: -66.617 eV per cell
ΔH_f (0 K): -1.23 eV per formula unit